# PmMgCu10 | Alexandria via LeMat-Bulk | PBE | optimized geometry
# ΔH_f (0 K) in eV/atom: -0.100
# SG: Pmmm
data_PmMgCu10
_cell_length_a 4.095
_cell_length_b 4.992
_cell_length_c 8.658
_cell_angle_alpha 90.00
_cell_angle_beta 90.00
_cell_angle_gamma 90.00
_symmetry_space_group_name_H-M 'P 1'
_symmetry_Int_Tables_number 1
_symmetry_space_group_name_Hall 'P 1'
loop_
_atom_site_label
_atom_site_fract_x
_atom_site_fract_y
_atom_site_fract_z
_atom_site_occupancy
Mg1 0.000 0.500 0.500 1
Cu1 0.500 0.750 0.253 1
Cu2 0.500 0.750 0.747 1
Cu3 0.500 0.250 0.253 1
Cu4 0.500 0.500 0.000 1
Cu5 0.000 0.000 0.344 1
Cu6 0.000 0.000 0.656 1
Pm1 0.000 0.000 0.000 1
Cu7 0.500 0.000 0.500 1
Cu8 0.000 0.500 0.183 1
Cu9 0.500 0.250 0.747 1
Cu10 0.000 0.500 0.817 1

# PmMg9Cu3 | Alexandria via LeMat-Bulk | PBE | optimized geometry
# ΔH_f (0 K) in eV/atom: -0.092
# SG: C2/m
data_PmMg9Cu3
_cell_length_a 5.413
_cell_length_b 7.387
_cell_length_c 7.486
_cell_angle_alpha 82.73
_cell_angle_beta 68.81
_cell_angle_gamma 69.52
_symmetry_space_group_name_H-M 'P 1'
_symmetry_Int_Tables_number 1
_symmetry_space_group_name_Hall 'P 1'
loop_
_atom_site_label
_atom_site_fract_x
_atom_site_fract_y
_atom_site_fract_z
_atom_site_occupancy
Pm1 0.000 0.000 0.000 1
Mg1 0.343 0.667 0.643 1
Cu1 0.500 0.500 0.000 1
Cu2 0.500 0.000 0.500 1
Mg2 0.986 0.667 0.357 1
Mg3 0.657 0.333 0.357 1
Mg4 0.014 0.333 0.643 1
Cu3 0.000 0.000 0.500 1
Mg5 0.482 0.791 0.221 1
Mg6 0.518 0.209 0.779 1
Mg7 0.703 0.791 0.779 1
Mg8 0.297 0.209 0.221 1
Mg9 0.000 0.500 0.000 1

# PmMg3Cu | Alexandria via LeMat-Bulk | PBE | optimized geometry
# ΔE to the lowest computed polymorph in eV/f.u.: 0.00
# ΔH_f (0 K) in eV/atom: -0.134
# SG: Cmmm
data_PmMg3Cu
_cell_length_a 4.351
_cell_length_b 7.496
_cell_length_c 7.496
_cell_angle_alpha 112.07
_cell_angle_beta 90.00
_cell_angle_gamma 90.00
_symmetry_space_group_name_H-M 'P 1'
_symmetry_Int_Tables_number 1
_symmetry_space_group_name_Hall 'P 1'
loop_
_atom_site_label
_atom_site_fract_x
_atom_site_fract_y
_atom_site_fract_z
_atom_site_occupancy
Pm1 0.500 0.291 0.709 1
Mg1 0.000 0.500 0.500 1
Mg2 0.500 0.000 0.000 1
Mg3 0.000 0.677 0.932 1
Mg4 0.000 0.932 0.677 1
Cu1 0.500 0.688 0.688 1
Mg5 0.000 0.323 0.068 1
Pm2 0.500 0.709 0.291 1
Cu2 0.500 0.312 0.312 1
Mg6 0.000 0.068 0.323 1